Computed, not measured: a relaxed structure of Tb6PmEr2Sc3 at the PBE level of DFT.

Cell and atoms, written as POSCAR:
```
Tb6PmEr2Sc3
1.0
-4.730 2.142 3.118
3.219 -4.638 2.193
7.311 8.084 3.582
Tb Pm Er Sc
6 1 2 3
Direct
0.913 0.580 0.741 Tb
0.753 0.753 0.259 Tb
0.087 0.420 0.259 Tb
0.580 0.913 0.741 Tb
0.247 0.247 0.741 Tb
0.420 0.087 0.259 Tb
0.000 0.000 0.000 Pm
0.333 0.667 0.000 Er
0.667 0.333 0.000 Er
0.167 0.833 0.500 Sc
0.833 0.167 0.500 Sc
0.500 0.500 0.500 Sc
```

Computed properties:
For the energy, the calculation gives -5.01 eV/atom. The value obtained for the volume is 29.9 Å³ per atom. As for the crystal system: monoclinic. The formation energy is 44 meV per atom.